DFT (PBE) results for crystalline Si4HgSb at its relaxed geometry.

Calculated values
ΔE_f (raw) = 0.585 eV/atom
magnetic moment = 0.00 μB/cell
Fermi-level density of states = 14.4 states/eV/cell

abc: 7.6743 7.6743 7.6743
angles: 90.00 90.00 90.00
Space group F-43m (No. 216)
Asymmetric unit:
Si 0.1237 0.1237 0.1237
Hg 0.2500 0.2500 0.7500
Sb 0.0000 0.0000 0.5000

DFT (PBE) results for crystalline SiHgSbTe2 at its relaxed geometry.

Calculated values
energy above the lowest structure with this stoichiometry = 0.000 eV per atom
ΔE_f (raw) = 0.444 eV/atom
magnetic moment = 0.00 μB/cell
Fermi-level density of states = 4.3 states/eV/cell

abc: 5.3179 5.3179 5.3278
angles: 90.00 90.00 90.00
Space group P4/mmm (No. 123)
Asymmetric unit:
Si 0.0000 0.0000 0.0000
Hg 0.5000 0.5000 0.5000
Sb 0.0000 0.0000 0.5000
Te 0.0000 0.5000 0.0000

> Which value of ΔE_f (raw) does entry 1 give?

0.585 eV/atom

> The highest ΔE_f (raw) belongs to which entry?

Si4HgSb